Entry 1:
A crystal of NiN2OF relaxed with PBEsol. Source: Alexandria via LeMat-Bulk, functional meta-GGA SCAN.

Results
Crystal system   tetragonal
Energy   -6.699 eV per atom
Uncorrected formation energy   2.2060 eV/atom
Density   4.058 g/cm³
Space group   P4/mmm (123)
Magnetization   5.05 μB per cell

Lattice parameters (Å, degrees): 3.3945 3.3945 4.3220 90.00 90.00 90.00
Sites, in units of the cell vectors:
N (0.0000, 0.5000, 0.0000)
N (0.5000, 0.0000, 0.0000)
F (0.0000, 0.0000, 0.0000)
O (0.0000, 0.0000, 0.5000)
Ni (0.5000, 0.5000, 0.5000)



Entry 2:
A crystal of NiNO2F relaxed with PBEsol. Source: Alexandria via LeMat-Bulk, functional meta-GGA SCAN.

Results
Crystal system   tetragonal
Energy   -7.813 eV per atom
Uncorrected formation energy   0.4806 eV/atom
Density   4.095 g/cm³
Space group   P4/mmm (123)
Magnetization   0.53 μB per cell

Lattice parameters (Å, degrees): 3.6281 3.6281 3.8106 90.00 90.00 90.00
Sites, in units of the cell vectors:
O (0.0000, 0.5000, 0.0000)
N (0.5000, 0.5000, 0.5000)
Ni (0.0000, 0.0000, 0.0000)
F (0.0000, 0.0000, 0.5000)
O (0.5000, 0.0000, 0.0000)



Entry 3:
A crystal of NiOsNF2 relaxed with PBEsol. Source: Alexandria via LeMat-Bulk, functional meta-GGA SCAN.

Results
Crystal system   tetragonal
Energy   -20.868 eV per atom
Uncorrected formation energy   0.0165 eV/atom
Density   7.885 g/cm³
Space group   P4/mmm (123)
Magnetization   1.12 μB per cell

Lattice parameters (Å, degrees): 3.7190 4.1279 4.1279 90.00 90.00 90.00
Sites, in units of the cell vectors:
N (0.5000, 0.0000, 0.0000)
F (0.0000, 0.5000, 0.0000)
Ni (0.5000, 0.5000, 0.5000)
F (0.0000, 0.0000, 0.5000)
Os (0.0000, 0.0000, 0.0000)



Entry 4:
A crystal of Ni2PdNF relaxed with PBEsol. Source: Alexandria via LeMat-Bulk, functional meta-GGA SCAN.

Results
Crystal system   tetragonal
Energy   -15.652 eV per atom
Uncorrected formation energy   -0.0613 eV/atom
Density   7.764 g/cm³
Space group   P4/mmm (123)
Magnetization   0.00 μB per cell

Lattice parameters (Å, degrees): 3.6283 3.6283 4.1725 90.00 90.00 90.00
Sites, in units of the cell vectors:
F (0.5000, 0.5000, 0.5000)
Ni (0.0000, 0.5000, 0.0000)
N (0.0000, 0.0000, 0.0000)
Ni (0.5000, 0.0000, 0.0000)
Pd (0.0000, 0.0000, 0.5000)



Entry 5:
A crystal of NiRuNF2 relaxed with PBEsol. Source: Alexandria via LeMat-Bulk, functional meta-GGA SCAN.

Results
Crystal system   tetragonal
Energy   -13.689 eV per atom
Uncorrected formation energy   -0.2147 eV/atom
Density   5.738 g/cm³
Space group   P4/mmm (123)
Magnetization   1.06 μB per cell

Lattice parameters (Å, degrees): 3.6715 4.0857 4.0857 90.00 90.00 90.00
Sites, in units of the cell vectors:
Ru (0.0000, 0.0000, 0.0000)
Ni (0.5000, 0.5000, 0.5000)
N (0.5000, 0.0000, 0.0000)
F (0.0000, 0.5000, 0.0000)
F (0.0000, 0.0000, 0.5000)



Entry 6:
A crystal of TiNiNF2 relaxed with PBEsol. Source: Alexandria via LeMat-Bulk, functional meta-GGA SCAN.

Results
Crystal system   tetragonal
Energy   -10.708 eV per atom
Uncorrected formation energy   -0.9933 eV/atom
Density   5.009 g/cm³
Space group   P4/mmm (123)
Magnetization   0.40 μB per cell

Lattice parameters (Å, degrees): 3.6725 3.6725 3.8978 90.00 90.00 90.00
Sites, in units of the cell vectors:
Ti (0.5000, 0.5000, 0.5000)
F (0.5000, 0.0000, 0.0000)
F (0.0000, 0.5000, 0.0000)
Ni (0.0000, 0.0000, 0.0000)
N (0.0000, 0.0000, 0.5000)



Entry 7:
A crystal of ZnNiNF2 relaxed with PBEsol. Source: Alexandria via LeMat-Bulk, functional meta-GGA SCAN.

Results
Crystal system   tetragonal
Energy   -9.813 eV per atom
Uncorrected formation energy   -0.6009 eV/atom
Density   5.505 g/cm³
Space group   P4/mmm (123)
Magnetization   2.03 μB per cell

Lattice parameters (Å, degrees): 3.7789 3.7789 3.7201 90.00 90.00 90.00
Sites, in units of the cell vectors:
F (0.5000, 0.0000, 0.0000)
N (0.0000, 0.0000, 0.5000)
Ni (0.0000, 0.0000, 0.0000)
Zn (0.5000, 0.5000, 0.5000)
F (0.0000, 0.5000, 0.0000)



Entry 8:
A crystal of PbN2OF relaxed with PBEsol. Source: Alexandria via LeMat-Bulk, functional meta-GGA SCAN.

Results
Crystal system   tetragonal
Energy   -19.166 eV per atom
Uncorrected formation energy   1.6610 eV/atom
Density   7.097 g/cm³
Space group   P4/mmm (123)
Magnetization   3.42 μB per cell

Lattice parameters (Å, degrees): 3.5214 3.5214 5.0988 90.00 90.00 90.00
Sites, in units of the cell vectors:
N (0.5000, 0.0000, 0.0000)
N (0.0000, 0.5000, 0.0000)
Pb (0.5000, 0.5000, 0.5000)
F (0.0000, 0.0000, 0.0000)
O (0.0000, 0.0000, 0.5000)



Entry 9:
A crystal of PtNOF2 relaxed with PBEsol. Source: Alexandria via LeMat-Bulk, functional meta-GGA SCAN.

Results
Crystal system   tetragonal
Energy   -17.524 eV per atom
Uncorrected formation energy   1.0355 eV/atom
Density   7.109 g/cm³
Space group   P4/mmm (123)
Magnetization   1.74 μB per cell

Lattice parameters (Å, degrees): 3.2321 3.2321 5.8823 90.00 90.00 90.00
Sites, in units of the cell vectors:
Pt (0.5000, 0.5000, 0.5000)
N (0.0000, 0.0000, 0.0000)
F (0.0000, 0.5000, 0.0000)
F (0.5000, 0.0000, 0.0000)
O (0.0000, 0.0000, 0.5000)



Entry 10:
A crystal of ReNO2F relaxed with PBEsol. Source: Alexandria via LeMat-Bulk, functional meta-GGA SCAN.

Results
Crystal system   tetragonal
Energy   -19.838 eV per atom
Uncorrected formation energy   -0.5594 eV/atom
Density   7.664 g/cm³
Space group   P4/mmm (123)
Magnetization   1.36 μB per cell

Lattice parameters (Å, degrees): 3.7334 3.7334 3.9052 90.00 90.00 90.00
Sites, in units of the cell vectors:
N (0.0000, 0.0000, 0.5000)
Re (0.0000, 0.0000, 0.0000)
O (0.5000, 0.0000, 0.0000)
O (0.0000, 0.5000, 0.0000)
F (0.5000, 0.5000, 0.5000)



Entry 11:
A crystal of ScNOF2 relaxed with PBEsol. Source: Alexandria via LeMat-Bulk, functional meta-GGA SCAN.

Results
Crystal system   tetragonal
Energy   -7.896 eV per atom
Uncorrected formation energy   -0.5285 eV/atom
Density   3.679 g/cm³
Space group   P4/mmm (123)
Magnetization   0.47 μB per cell

Lattice parameters (Å, degrees): 3.6171 3.6171 3.8971 90.00 90.00 90.00
Sites, in units of the cell vectors:
Sc (0.5000, 0.5000, 0.5000)
F (0.5000, 0.0000, 0.0000)
N (0.0000, 0.0000, 0.0000)
O (0.0000, 0.0000, 0.5000)
F (0.0000, 0.5000, 0.0000)



Entry 12:
A crystal of ScN2OF relaxed with PBEsol. Source: Alexandria via LeMat-Bulk, functional meta-GGA SCAN.

Results
Crystal system   tetragonal
Energy   -7.819 eV per atom
Uncorrected formation energy   0.6993 eV/atom
Density   3.638 g/cm³
Space group   P4/mmm (123)
Magnetization   0.80 μB per cell

Lattice parameters (Å, degrees): 3.3534 3.3534 4.3830 90.00 90.00 90.00
Sites, in units of the cell vectors:
N (0.5000, 0.0000, 0.0000)
Sc (0.5000, 0.5000, 0.5000)
N (0.0000, 0.5000, 0.0000)
O (0.0000, 0.0000, 0.5000)
F (0.0000, 0.0000, 0.0000)